VASP calculation (PBE) on a relaxed structure of LaCrW.

Summary:
DFT formation energy = 0.679 eV/atom
VASP energy = -8.49 eV per atom
Total magnetic moment = 0.00 μB per cell
Energy above the lowest structure with this stoichiometry = 162 meV per atom

a b c (Å): 3.1630 5.0284 14.4121
angles (deg): 90.00 90.00 90.00
With the nearest neighbours (Å) after each atom.
Space group Fmm2 (No. 42)
Symmetry-distinct sites (fractional):
La  0.0000  0.0000  0.0000 [4 per cell]  6 La 2.97-3.16, 2 Cr 3.03, 2 W 3.25
Cr  0.0000  0.0000  0.6795 [4 per cell]  2 W 2.38
W  0.0000  0.0000  0.3032 [4 per cell]  2 Cr 2.38